# NpUSiTc (PBE, relaxed)
# E_form (uncorrected): -0.046 eV per atom
data_NpUSiTc
_symmetry_space_group_name_H-M 'F -4 3 m'
_symmetry_Int_Tables_number 216
_symmetry_space_group_name_Hall 'F -4 2 3'
_cell_length_a 6.6067
_cell_length_b 6.6067
_cell_length_c 6.6067
_cell_angle_alpha 90.00
_cell_angle_beta 90.00
_cell_angle_gamma 90.00
loop_
_atom_site_label
_atom_site_fract_x
_atom_site_fract_y
_atom_site_fract_z
Np1 0.0000 0.0000 0.0000
U1 0.2500 0.2500 0.2500
Si1 0.2500 0.2500 0.7500
Tc1 0.0000 0.0000 0.5000

# Np3SiTe6 (PBE, relaxed)
# E_form (uncorrected): -0.408 eV per atom
data_Np3SiTe6
_symmetry_space_group_name_H-M 'C m c 21'
_symmetry_Int_Tables_number 36
_cell_length_a 11.9528
_cell_length_b 14.7231
_cell_length_c 7.4918
_cell_angle_alpha 90.00
_cell_angle_beta 90.00
_cell_angle_gamma 90.00
loop_
_symmetry_equiv_pos_as_xyz
'x,y,z'
'-x,-y,z+1/2'
'-x,y,z'
'x,-y,z+1/2'
'x+1/2,y+1/2,z'
'-x+1/2,-y+1/2,z+1/2'
'-x+1/2,y+1/2,z'
'x+1/2,-y+1/2,z+1/2'
loop_
_atom_site_label
_atom_site_fract_x
_atom_site_fract_y
_atom_site_fract_z
Np1 0.0000 0.1040 0.0000
Np2 0.1774 0.3998 0.1019
Si1 0.0000 0.3237 0.6366
Te1 0.0000 0.2674 0.2682
Te2 0.0000 0.4863 0.8475
Te3 0.1641 0.0331 0.3001
Te4 0.1669 0.2397 0.8080

# NpSiTe3 (PBE, relaxed)
# E_form (uncorrected): -0.034 eV per atom
data_NpSiTe3
_symmetry_space_group_name_H-M 'P -1'
_symmetry_Int_Tables_number 2
_cell_length_a 6.1192
_cell_length_b 7.4866
_cell_length_c 7.4867
_cell_angle_alpha 67.13
_cell_angle_beta 65.95
_cell_angle_gamma 65.98
loop_
_symmetry_equiv_pos_as_xyz
'x,y,z'
'-x,-y,-z'
loop_
_atom_site_label
_atom_site_fract_x
_atom_site_fract_y
_atom_site_fract_z
Np1 0.2493 0.3114 0.1895
Si1 0.0000 0.0000 0.5000
Si2 0.5000 0.0000 0.5000
Te1 0.2390 0.2601 0.7612
Te2 0.2501 0.7092 0.7912
Te3 0.2610 0.7386 0.2403

# Th2NpSi6 (PBE, relaxed)
# E_form (uncorrected): -0.495 eV per atom
data_Th2NpSi6
_symmetry_space_group_name_H-M 'P 6/m m m'
_symmetry_Int_Tables_number 191
_symmetry_space_group_name_Hall '-P 6 2'
_cell_length_a 7.0797
_cell_length_b 7.0797
_cell_length_c 4.1040
_cell_angle_alpha 90.00
_cell_angle_beta 90.00
_cell_angle_gamma 120.00
loop_
_atom_site_label
_atom_site_fract_x
_atom_site_fract_y
_atom_site_fract_z
Th1 0.3333 0.6667 0.0000
Np1 0.0000 0.0000 0.0000
Si1 0.0000 0.3301 0.5000

# ThNp2Si6 (PBE, relaxed)
# E_form (uncorrected): -0.366 eV per atom
data_ThNp2Si6
_symmetry_space_group_name_H-M 'P 6/m m m'
_symmetry_Int_Tables_number 191
_symmetry_space_group_name_Hall '-P 6 2'
_cell_length_a 7.0476
_cell_length_b 7.0476
_cell_length_c 3.9780
_cell_angle_alpha 90.00
_cell_angle_beta 90.00
_cell_angle_gamma 120.00
loop_
_atom_site_label
_atom_site_fract_x
_atom_site_fract_y
_atom_site_fract_z
Th1 0.0000 0.0000 0.0000
Np1 0.3333 0.6667 0.0000
Si1 0.0000 0.3363 0.5000

# ThNpSi (PBE, relaxed)
# E_form (uncorrected): 0.167 eV per atom
data_ThNpSi
_symmetry_space_group_name_H-M 'P m c 21'
_symmetry_Int_Tables_number 26
_cell_length_a 3.1853
_cell_length_b 11.4088
_cell_length_c 7.8442
_cell_angle_alpha 90.00
_cell_angle_beta 90.00
_cell_angle_gamma 90.00
loop_
_symmetry_equiv_pos_as_xyz
'x,y,z'
'-x,-y,z+1/2'
'-x,y,z'
'x,-y,z+1/2'
loop_
_atom_site_label
_atom_site_fract_x
_atom_site_fract_y
_atom_site_fract_z
Th1 0.0000 0.1689 0.0000
Th2 0.0000 0.3008 0.6117
Np1 0.0000 0.1026 0.3721
Np2 0.0000 0.4600 0.9719
Si1 0.5000 0.0675 0.6814
Si2 0.5000 0.3326 0.2672

# ThNpSi3 (PBE, relaxed)
# E_form (uncorrected): -0.394 eV per atom
data_ThNpSi3
_symmetry_space_group_name_H-M 'C m c m'
_symmetry_Int_Tables_number 63
_symmetry_space_group_name_Hall '-C 2c 2'
_cell_length_a 4.1088
_cell_length_b 24.8671
_cell_length_c 4.0624
_cell_angle_alpha 90.00
_cell_angle_beta 90.00
_cell_angle_gamma 90.00
loop_
_atom_site_label
_atom_site_fract_x
_atom_site_fract_y
_atom_site_fract_z
Th1 0.0000 0.2028 0.2500
Np1 0.0000 0.0679 0.7500
Si1 0.0000 0.3322 0.2500
Si2 0.0000 0.3853 0.7500
Si3 0.0000 0.4778 0.7500

# NpTi2Si (PBE, relaxed)
# E_form (uncorrected): -0.202 eV per atom
data_NpTi2Si
_symmetry_space_group_name_H-M 'P 4/m m m'
_symmetry_Int_Tables_number 123
_symmetry_space_group_name_Hall '-P 4 2'
_cell_length_a 4.2674
_cell_length_b 4.2674
_cell_length_c 3.6860
_cell_angle_alpha 90.00
_cell_angle_beta 90.00
_cell_angle_gamma 90.00
loop_
_atom_site_label
_atom_site_fract_x
_atom_site_fract_y
_atom_site_fract_z
Np1 0.0000 0.0000 0.0000
Ti1 0.0000 0.5000 0.5000
Si1 0.5000 0.5000 0.0000

Repeat the first record exactly.
# NpUSiTc (PBE, relaxed)
# E_form (uncorrected): -0.046 eV per atom
data_NpUSiTc
_symmetry_space_group_name_H-M 'F -4 3 m'
_symmetry_Int_Tables_number 216
_symmetry_space_group_name_Hall 'F -4 2 3'
_cell_length_a 6.6067
_cell_length_b 6.6067
_cell_length_c 6.6067
_cell_angle_alpha 90.00
_cell_angle_beta 90.00
_cell_angle_gamma 90.00
loop_
_atom_site_label
_atom_site_fract_x
_atom_site_fract_y
_atom_site_fract_z
Np1 0.0000 0.0000 0.0000
U1 0.2500 0.2500 0.2500
Si1 0.2500 0.2500 0.7500
Tc1 0.0000 0.0000 0.5000